The following is a PBE calculation of an optimized crystal structure of Dy3Y2Ho7, from Alexandria via LeMat-Bulk.

Computed properties:
ΔE_f = 0.1141 eV per atom

Cell lengths 3.573, 5.658, 19.036 Å; angles 98.55, 90.00, 90.00 degrees
Positions (direct):
Dy 0.500 0.500 0.000
Dy 0.500 0.685 0.371
Dy 0.500 0.315 0.629
Y 0.000 0.853 0.705
Y 0.000 0.147 0.295
Ho 0.000 0.408 0.817
Ho 0.000 0.769 0.538
Ho 0.000 0.000 0.000
Ho 0.000 0.592 0.183
Ho 0.500 0.071 0.143
Ho 0.500 0.929 0.857
Ho 0.000 0.231 0.462

---

The following is a PBE calculation of an optimized crystal structure of SiAuCl2, from Alexandria via LeMat-Bulk.

Computed properties:
formation energy (no corrections) = 98 meV/atom

Cell lengths 10.563, 10.563, 10.563 Å; angles 18.40, 18.40, 18.40 degrees
Positions (direct):
Au 0.750 0.750 0.750
Cl 0.970 0.970 0.970
Cl 0.530 0.530 0.530
Si 0.250 0.250 0.250